Record 1
10
Lattice="6.6222 -1.8770 0.0000 6.6222 1.8770 0.0000 -0.9515 0.0000 12.9171" Properties=species:S:1:pos:R:3 comment="Nd3YCd, optimized geometry, DFT PBE" delta_e_f_ev_per_atom=-0.115 relative_energy_ev_per_atom=0.000 pbc="T T T"
Nd 0.3396 0.0000 2.4582
Nd 1.5074 0.0000 5.7542
Nd 4.8104 0.0000 0.3087
Nd 7.4825 0.0000 12.6084
Nd 10.7855 0.0000 7.1630
Nd 11.9533 0.0000 10.4590
Y 2.2944 0.0000 9.6987
Y 9.9985 0.0000 3.2185
Cd 5.4584 0.0000 4.7915
Cd 6.8345 0.0000 8.1256

Record 2
8
Lattice="-3.3758 3.3758 2.5277 3.3758 -3.3758 2.5277 3.3758 3.3758 -2.5277" Properties=species:S:1:pos:R:3 comment="Cr2MoRu, optimized geometry, DFT PBE" delta_e_f_ev_per_atom=0.751 pbc="T T T"
Cr 5.0636 1.6345 -0.6319
Cr 1.6345 1.6879 0.6319
Cr -1.6879 1.7412 1.8958
Cr 1.7412 1.6879 3.1596
Mo 3.3758 0.0000 1.2639
Mo 0.0000 0.0000 2.5277
Ru 0.0000 0.0000 0.0000
Ru 0.0000 3.3758 1.2639

Record 3
7
Lattice="-2.3060 2.3060 6.6461 2.3060 -2.3060 6.6461 2.3060 2.3060 -6.6461" Properties=species:S:1:pos:R:3 comment="Sc2ZnPd4, optimized geometry, DFT PBE" delta_e_f_ev_per_atom=-0.196 relative_energy_ev_per_atom=0.461 pbc="T T T"
Sc 0.0000 0.0000 1.7122
Sc 0.0000 0.0000 11.5799
Zn 0.0000 0.0000 6.6461
Pd 2.3060 0.0000 0.0000
Pd 0.0000 0.0000 4.1531
Pd 0.0000 2.3060 0.0000
Pd 0.0000 0.0000 9.1391

Record 4
11
Lattice="-3.4733 3.4733 4.8926 3.4733 -3.4733 4.8926 3.4733 3.4733 -4.8926" Properties=species:S:1:pos:R:3 comment="CaSn4Pd6, optimized geometry, DFT PBE" delta_e_f_ev_per_atom=-0.460 relative_energy_ev_per_atom=0.151 pbc="T T T"
Ca 0.0000 0.0000 0.0000
Sn 1.4599 -1.4599 3.2214
Sn 2.0134 2.0134 1.6712
Sn -1.4599 1.4599 3.2214
Sn 1.4599 1.4599 6.5638
Pd 3.4733 0.0000 0.0000
Pd 2.3729 2.3729 -0.9936
Pd 1.1003 -1.1003 5.8862
Pd 0.0000 3.4733 0.0000
Pd 1.1003 1.1003 3.8991
Pd -1.1003 1.1003 5.8862

Record 5
8
Lattice="-6.7302 6.7302 2.2747 6.7302 -6.7302 2.2747 6.7302 6.7302 -2.2747" Properties=species:S:1:pos:R:3 comment="Rb2VRe, optimized geometry, DFT PBE" delta_e_f_ev_per_atom=1.548 relative_energy_ev_per_atom=0.000 pbc="T T T"
Rb -0.9641 3.3651 0.5687
Rb 3.3651 5.7661 1.7060
Rb 0.9641 10.0953 0.5687
Rb -3.3651 7.6942 1.7060
V 0.0000 0.0000 0.0000
V 0.0000 6.7302 1.1373
Re 6.7302 0.0000 1.1373
Re 0.0000 0.0000 2.2747

Record 6
7
Lattice="5.2646 -1.9333 0.0000 5.2646 1.9333 0.0000 -2.4592 0.0000 5.9438" Properties=species:S:1:pos:R:3 comment="Tb2Zn2Ni3, optimized geometry, DFT PBE" delta_e_f_ev_per_atom=-0.343 pbc="T T T"
Tb 0.6246 0.0000 1.6137
Tb 7.4454 0.0000 4.3301
Zn -0.1345 0.0000 4.5695
Zn 8.2044 0.0000 1.3743
Ni 4.1068 0.0000 0.4351
Ni 4.0350 0.0000 2.9719
Ni 3.9631 0.0000 5.5087

Record 7
11
Lattice="12.4451 -2.1564 0.0000 12.4451 2.1564 0.0000 -0.5844 0.0000 7.5339" Properties=species:S:1:pos:R:3 comment="Nd5Dy2Sb4, optimized geometry, DFT PBE" formation_energy_uncorrected_ev_per_atom=-0.426 pbc="T T T"
Nd 0.0000 0.0000 0.0000
Nd 7.6839 0.0000 3.9960
Nd 8.3344 0.0000 0.1425
Nd 15.9714 0.0000 7.3914
Nd 16.6219 0.0000 3.5379
Dy 10.9235 0.0000 2.6251
Dy 13.3823 0.0000 4.9088
Sb 5.5193 0.0000 1.7000
Sb 10.3692 0.0000 5.6591
Sb 13.9366 0.0000 1.8748
Sb 18.7865 0.0000 5.8339

Record 8
4
Lattice="1.5808 0.9127 8.3956 -1.5808 0.9127 8.3956 0.0000 -1.8254 8.3956" Properties=species:S:1:pos:R:3 comment="YRu2Cl, optimized geometry, DFT PBE" formation_energy_uncorrected_ev_per_atom=0.515 relative_energy_ev_per_atom=0.842 pbc="T T T"
Y 0.0000 0.0000 0.0000
Ru 0.0000 0.0000 6.1598
Ru 0.0000 0.0000 19.0270
Cl 0.0000 0.0000 12.5934

Record 9
6
Lattice="0.0000 3.7384 3.7384 3.7384 0.0000 3.7384 3.7384 3.7384 0.0000" Properties=species:S:1:pos:R:3 comment="CeTiIr4, optimized geometry, DFT PBE" delta_e_f_ev_per_atom=-0.520 pbc="T T T"
Ce 0.0000 0.0000 0.0000
Ti 1.8692 1.8692 1.8692
Ir 4.6697 2.8070 2.8070
Ir 2.8070 4.6697 2.8070
Ir 2.8070 2.8070 4.6697
Ir 4.6697 4.6697 4.6697

Record 10
4
Lattice="3.9376 0.0000 0.0000 0.0000 3.9376 0.0000 0.0000 0.0000 3.5658" Properties=species:S:1:pos:R:3 comment="BeMoIr2, optimized geometry, DFT PBE" delta_e_f_ev_per_atom=-0.041 pbc="T T T"
Be 0.0000 0.0000 0.0000
Mo 1.9688 1.9688 0.0000
Ir 0.0000 1.9688 1.7829
Ir 1.9688 0.0000 1.7829

Record 11
8
Lattice="2.2641 1.3072 7.6070 -2.2641 1.3072 7.6070 0.0000 -2.6143 7.6070" Properties=species:S:1:pos:R:3 comment="YCuSn2Rh4, optimized geometry, DFT PBE" delta_e_f_ev_per_atom=-0.550 pbc="T T T"
Y 0.0000 0.0000 0.0000
Cu 0.0000 0.0000 11.4105
Sn 0.0000 0.0000 5.5886
Sn 0.0000 0.0000 17.2324
Rh 0.0000 0.0000 2.8976
Rh 0.0000 0.0000 8.7895
Rh 0.0000 0.0000 14.0315
Rh 0.0000 0.0000 19.9234

Record 12
10
Lattice="6.0373 0.0000 0.0000 0.0000 4.6407 0.0000 -2.7667 0.0000 11.6038" Properties=species:S:1:pos:R:3 comment="Pr2TeSe2, optimized geometry, DFT PBE" formation_energy_uncorrected_ev_per_atom=-1.597 relative_energy_ev_per_atom=0.000 pbc="T T T"
Pr 0.1501 1.1602 2.0285
Pr 0.1199 1.1602 6.8988
Pr 3.1508 3.4805 4.7050
Pr 3.1206 3.4805 9.5753
Te 1.5452 3.4805 0.6059
Te 1.7254 1.1602 10.9980
Se 0.1527 3.4805 4.6651
Se -0.0396 3.4805 8.5740
Se 3.3102 1.1602 3.0298
Se 3.1179 1.1602 6.9388

Record 13
5
Lattice="4.6903 0.0000 0.0000 0.0000 4.6903 0.0000 0.0000 0.0000 5.2056" Properties=species:S:1:pos:R:3 comment="SrMgBeAu2, optimized geometry, DFT PBE" delta_e_f_ev_per_atom=0.039 relative_energy_ev_per_atom=0.000 pbc="T T T"
Sr 0.0000 0.0000 0.0000
Mg 2.3451 2.3451 0.0000
Be 0.0000 0.0000 2.6028
Au 0.0000 2.3451 2.6028
Au 2.3451 0.0000 2.6028

Record 14
4
Lattice="4.0023 0.0000 0.0000 0.0000 4.0023 0.0000 0.0000 0.0000 6.3772" Properties=species:S:1:pos:R:3 comment="YTe2Pt, optimized geometry, DFT PBE" formation_energy_uncorrected_ev_per_atom=-0.788 relative_energy_ev_per_atom=0.138 pbc="T T T"
Y 0.0000 0.0000 0.0000
Te 0.0000 0.0000 2.8458
Te 2.0011 2.0011 5.3904
Pt 2.0011 2.0011 1.8357

Record 15
4
Lattice="1.7338 1.0010 12.0990 -1.7338 1.0010 12.0990 0.0000 -2.0021 12.0990" Properties=species:S:1:pos:R:3 comment="SrLu2Zr, optimized geometry, DFT PBE" delta_e_f_ev_per_atom=0.274 pbc="T T T"
Sr 0.0000 0.0000 0.0000
Lu 0.0000 0.0000 3.5047
Lu 0.0000 0.0000 32.7924
Zr 0.0000 0.0000 18.1485

Record 16
4
Lattice="2.9201 -4.8287 0.0000 2.9201 4.8287 0.0000 0.0000 0.0000 3.2716" Properties=species:S:1:pos:R:3 comment="BaZr2Ru, optimized geometry, DFT PBE" delta_e_f_ev_per_atom=0.756 relative_energy_ev_per_atom=0.677 pbc="T T T"
Ba 0.0000 0.0000 0.0000
Zr 1.4601 2.4144 1.6358
Zr 1.4601 -2.4144 1.6358
Ru 2.9201 0.0000 0.0000